one.
Here is a geometry-optimized Ce3As2H2 structure from the Alexandria database. Energies are from GGA-PBE.

Properties
N(E_F) in states/eV per cell: 32.05
Volume in Å³/atom: 19.4
Magnetization in μB/f.u.: 3.1

a b c (Å): 3.9836 7.1577 9.7338
angles (deg): 90.00 101.81 90.00
Each line ends with the local moment (μB).
Element x y z (fractional)
Ce1 0.2206 0.7500 0.4412  0.85
Ce2 0.7794 0.2500 0.5588  0.85
Ce3 0.5835 0.4726 0.1671  0.87
Ce4 0.4165 0.5274 0.8329  0.87
Ce5 0.4165 0.9726 0.8329  0.87
Ce6 0.5835 0.0274 0.1671  0.87
As1 0.1640 0.2500 0.3281  -0.03
As2 0.8360 0.7500 0.6719  -0.03
As3 0.9671 0.2500 0.9343  -0.03
As4 0.0329 0.7500 0.0657  -0.03
H1 0.6998 0.9346 0.3997  -0.01
H2 0.3002 0.0654 0.6003  -0.01
H3 0.3002 0.4346 0.6003  -0.01
H4 0.6998 0.5654 0.3997  -0.01

---

two.
Here is a geometry-optimized Ce3As2H2 structure from the Alexandria database. Energies are from GGA-PBE.

Properties
N(E_F) in states/eV per cell: 17.42
Volume in Å³/atom: 22.0
Magnetization in μB/f.u.: 3.0

a b c (Å): 4.0821 5.9496 7.0125
angles (deg): 108.07 106.92 90.00
Each line ends with the local moment (μB).
Element x y z (fractional)
Ce1 0.0000 0.5000 0.0000  0.78
Ce2 0.3335 0.8103 0.6670  0.82
Ce3 0.6665 0.1897 0.3330  0.82
As1 0.6643 0.6908 0.3286  -0.03
As2 0.3357 0.3092 0.6714  -0.03
H1 0.9173 0.7893 0.8345  -0.01
H2 0.0827 0.2107 0.1655  -0.01

---

Name the least stable of them. one.

---

one.
Here is a geometry-optimized CeHfAs2 structure from the Alexandria database. Energies are from GGA-PBE.

Properties
N(E_F) in states/eV per cell: 5.92
Volume in Å³/atom: 23.2
Magnetization in μB/f.u.: 0.9

a b c (Å): 3.9037 3.9037 7.3698
angles (deg): 74.64 74.64 60.00
Each line ends with the local moment (μB).
Element x y z (fractional)
Ce1 0.4969 0.4969 0.5094  0.71
Hf1 0.6695 0.6695 0.9915  0.00
As1 0.0741 0.0741 0.7778  -0.01
As2 0.2596 0.2596 0.2213  -0.01

---

two.
Here is a geometry-optimized CeHfAs2 structure from the Alexandria database. Energies are from GGA-PBE.

Properties
N(E_F) in states/eV per cell: 5.00
Volume in Å³/atom: 22.8
Magnetization in μB/f.u.: 0.4

a b c (Å): 4.0010 4.0010 6.9642
angles (deg): 90.00 106.69 119.99
Each line ends with the local moment (μB).
Element x y z (fractional)
Ce1 0.0000 0.5000 0.5000  -0.38
Hf1 0.0000 0.0000 0.0000  0.00
As1 0.5158 0.2579 0.7737  0.01
As2 0.4842 0.7421 0.2263  0.01

---

Name the least stable of them. one.